w | This record from Alexandria via LeMat-Bulk describes crystalline Sm2ScTl2 at its relaxed geometry. The functional is PBE-GGA.

Cell: 4.6341 6.7145 9.4033 Å, 90.00 90.00 90.00°
Space group Immm (No. 71)
Unique sites:
Sm 0.0000 0.0000 0.1983 x4
Sc 0.0000 0.5000 0.0000 x2
Tl 0.0000 0.2710 0.5000 x4

Properties
Calculated volume   292.6 Å³/cell

---

x | This record from Alexandria via LeMat-Bulk describes crystalline Sm2ScTl2 at its relaxed geometry. The functional is PBE-GGA.

Cell: 7.9663 7.9663 4.5641 Å, 90.00 90.00 90.00°
Space group P4/mbm (No. 127)
Unique sites:
Sm 0.1709 0.3291 0.0000 x4
Sc 0.0000 0.0000 0.5000 x2
Tl 0.1349 0.6349 0.5000 x4

Properties
Calculated volume   289.6 Å³/cell

---

Which of them is the most stable, and which is the least stable? x and w, in that order.